# Ta2B2W

Crystalline Ta2B2W at its relaxed geometry (GGA-PBE, the Alexandria database).

As for the crystal system: tetragonal. For the total magnetic moment, the calculation gives 0.000 μB/f.u. Its uncorrected energy is -10.6771 eV/atom. The formation energy from the elements is -0.674 eV per atom. The energy above the most stable polymorph in this dataset comes out at 0 meV/atom.

a = 6.123 Å, b = 6.123 Å, c = 3.295 Å
α = 90.00°, β = 90.00°, γ = 90.00°
Element x y z (fractional)
1 B 0.389 0.889 0.000
2 B 0.889 0.611 0.000
3 B 0.611 0.111 0.000
4 B 0.111 0.389 0.000
5 W 0.000 0.000 0.000
6 W 0.500 0.500 0.000
7 Ta 0.177 0.677 0.500
8 Ta 0.677 0.823 0.500
9 Ta 0.823 0.323 0.500
10 Ta 0.323 0.177 0.500

=====

# K2CI

Crystalline K2CI at its relaxed geometry (GGA-PBE, the Alexandria database).

As for the crystal system: cubic. The value obtained for the formation energy without anion corrections is 0.5036 eV per atom. For the total magnetic moment, the calculation gives 3.000 μB/f.u. Its uncorrected energy is -2.7386 eV/atom. The energy above the most stable polymorph in this dataset comes out at 33 meV/atom.

a = 5.776 Å, b = 5.776 Å, c = 5.776 Å
α = 60.00°, β = 60.00°, γ = 60.00°
Each line ends with the local moment (μB).
Element x y z (fractional)
1 I 0.500 0.500 0.500  0.07
2 K 0.250 0.250 0.250  0.02
3 K 0.750 0.750 0.750  0.02
4 C 0.000 0.000 0.000  1.16